1.
# Na3Bi2Pd (PBE, optimized geometry)
data_Na3Bi2Pd
_cell_length_a 5.986
_cell_length_b 17.480
_cell_length_c 6.517
_cell_angle_alpha 90.00
_cell_angle_beta 90.00
_cell_angle_gamma 90.00
_space_group_name_H-M_alt 'I b a m'
_space_group_IT_number 72
_space_group_name_Hall '-I 2 2c'
loop_
_atom_site_label
_atom_site_fract_x
_atom_site_fract_y
_atom_site_fract_z
Na1 0.000 0.000 0.250
Na2 0.135 0.190 0.000
Bi1 0.119 0.377 0.000
Pd1 0.000 0.500 0.250
# ΔE to the lowest computed polymorph: 65 meV per atom
# total DFT energy (no corrections): -74.743 eV for the cell shown
# D(E_F): 4.39 states/eV/cell


2.
# NaBiPd (PBE, optimized geometry)
data_NaBiPd
_cell_length_a 3.705
_cell_length_b 3.705
_cell_length_c 10.835
_cell_angle_alpha 90.00
_cell_angle_beta 90.00
_cell_angle_gamma 90.00
_space_group_name_H-M_alt 'I 4 m m'
_space_group_IT_number 107
_space_group_name_Hall 'I 4 -2'
loop_
_atom_site_label
_atom_site_fract_x
_atom_site_fract_y
_atom_site_fract_z
Na1 0.000 0.000 0.000
Bi1 0.000 0.000 0.707
Pd1 0.000 0.000 0.305
# total DFT energy (no corrections): -22.536 eV for the cell shown
# D(E_F): 2.59 states/eV/cell


3.
# Na3Bi5Pd6 (PBE, optimized geometry)
data_Na3Bi5Pd6
_cell_length_a 4.631
_cell_length_b 14.375
_cell_length_c 9.778
_cell_angle_alpha 90.00
_cell_angle_beta 90.00
_cell_angle_gamma 90.00
_space_group_name_H-M_alt 'P m m n'
_space_group_IT_number 59
loop_
_space_group_symop_operation_xyz
'x,y,z'
'-x,-y,-z'
'-x+1/2,-y+1/2,z'
'x+1/2,y+1/2,-z'
'x+1/2,-y,-z'
'-x+1/2,y,z'
'-x,y+1/2,-z'
'x,-y+1/2,z'
loop_
_atom_site_label
_atom_site_fract_x
_atom_site_fract_y
_atom_site_fract_z
Na1 0.250 0.071 0.243
Na2 0.250 0.750 0.205
Bi1 0.250 0.088 0.857
Bi2 0.250 0.636 0.509
Bi3 0.250 0.750 0.824
Pd1 0.250 0.049 0.576
Pd2 0.250 0.250 0.020
Pd3 0.250 0.250 0.568
Pd4 0.250 0.586 0.988
# total DFT energy (no corrections): -117.708 eV for the cell shown
# D(E_F): 9.35 states/eV/cell


4.
# NaBi2Pd2 (PBE, optimized geometry)
data_NaBi2Pd2
_cell_length_a 5.044
_cell_length_b 5.044
_cell_length_c 10.225
_cell_angle_alpha 90.00
_cell_angle_beta 90.00
_cell_angle_gamma 90.00
_space_group_name_H-M_alt 'I 4/m m m'
_space_group_IT_number 139
_space_group_name_Hall '-I 4 2'
loop_
_atom_site_label
_atom_site_fract_x
_atom_site_fract_y
_atom_site_fract_z
Na1 0.000 0.000 0.000
Bi1 0.000 0.500 0.250
Pd1 0.000 0.000 0.369
# ΔE to the lowest computed polymorph: 104 meV per atom
# total DFT energy (no corrections): -40.939 eV for the cell shown
# D(E_F): 7.29 states/eV/cell


no.,formation energy from the elements (eV/atom),total moment (μB per formula unit)
1,-0.296,0.000
2,-0.292,0.000
3,-0.310,0.000
4,-0.201,0.000